The following is a DFT calculation (GGA-PBE) of a relaxed structure of LuScTcOs.

Unit cell a=4.6529 b=4.6529 c=4.6529 alpha=60.00 beta=60.00 gamma=60.00
Closest atoms and distances in Å follow each position.
Sites, in units of the cell vectors:
Lu (0.0000, 0.0000, 0.0000)  4 Tc 2.85, 4 Os 2.85
Sc (0.5000, 0.5000, 0.5000)  4 Tc 2.85, 4 Os 2.85
Tc (0.2500, 0.2500, 0.2500)  4 Sc 2.85, 4 Lu 2.85
Os (0.7500, 0.7500, 0.7500)  4 Sc 2.85, 4 Lu 2.85



The following is a DFT calculation (GGA-PBE) of a relaxed structure of LuThScOs.

Unit cell a=5.0470 b=5.0470 c=5.0470 alpha=60.00 beta=60.00 gamma=60.00
Closest atoms and distances in Å follow each position.
Sites, in units of the cell vectors:
Lu (0.0000, 0.0000, 0.0000)  4 Os 3.09, 4 Sc 3.09
Th (0.5000, 0.5000, 0.5000)  4 Os 3.09, 4 Sc 3.09
Sc (0.7500, 0.7500, 0.7500)  4 Th 3.09, 4 Lu 3.09
Os (0.2500, 0.2500, 0.2500)  4 Th 3.09, 4 Lu 3.09



The following is a DFT calculation (GGA-PBE) of a relaxed structure of LuScTlOs.

Unit cell a=4.8788 b=4.8788 c=4.8788 alpha=60.00 beta=60.00 gamma=60.00
Closest atoms and distances in Å follow each position.
Sites, in units of the cell vectors:
Lu (0.0000, 0.0000, 0.0000)  4 Tl 2.99, 4 Os 2.99
Sc (0.5000, 0.5000, 0.5000)  4 Tl 2.99, 4 Os 2.99
Tl (0.7500, 0.7500, 0.7500)  4 Sc 2.99, 4 Lu 2.99
Os (0.2500, 0.2500, 0.2500)  4 Sc 2.99, 4 Lu 2.99



E_tot in eV per atom, matching the order above: -8.234 -7.446 -6.310
ΔE_f in eV per formula unit, matching the order above: -0.49 -0.28 -0.79
Calculated density in g/cm3, matching the order above: 11.847 11.731 12.427